[1]
Compound: Y2CrRu
Source: the Alexandria database
Functional: PBE
Structure: relaxed

Cell: 3.9365 3.9365 22.3072 Å, 90.00 90.00 120.00°
Space group R3m (No. 160, hexagonal axes)
Unique sites:
Y 0.0000 0.0000 0.0000
Y 0.0000 0.0000 0.1891
Cr 0.0000 0.0000 0.4342
Ru 0.0000 0.0000 0.7541

Formation energy from the elements: 0.02 eV per atom
Density of states at the Fermi level: 15.76 states/eV/cell

***

[2]
Compound: ZnFe2P
Source: the Alexandria database
Functional: PBE
Structure: relaxed

Cell: 2.933 2.933 5.802 Å, 90.00 90.00 90.00°
Space group P4mm (No. 99)
Unique sites:
Zn 0.000 0.000 0.000
Fe 0.000 0.000 0.514
Fe 0.500 0.500 0.258
P 0.500 0.500 0.688

Formation energy from the elements: -0.04 eV per atom
Density of states at the Fermi level: 1.99 states/eV/cell

***

[3]
Compound: Nd3TmMg4
Source: the Alexandria database
Functional: PBE
Structure: relaxed

Cell: 3.878 5.424 10.872 Å, 90.00 90.00 90.00°
Space group Pmmm (No. 47)
Unique sites:
Nd 0.000 0.000 0.000
Nd 0.000 0.500 0.252
Tm 0.000 0.000 0.500
Mg 0.500 0.000 0.257
Mg 0.500 0.500 0.000
Mg 0.500 0.500 0.500

Formation energy from the elements: -0.09 eV per atom
Density of states at the Fermi level: 8.50 states/eV/cell

***

[4]
Compound: Tl3SnBi
Source: the Alexandria database
Functional: PBE
Structure: relaxed

Cell: 9.403 10.246 7.387 Å, 90.00 108.12 90.00°
Space group C2/m (No. 12)
Unique sites:
Tl 0.080 0.000 0.315
Tl 0.171 0.248 0.688
Sn 0.078 0.500 0.327
Bi 0.229 0.500 0.995

Formation energy from the elements: 0.06 eV per atom
Density of states at the Fermi level: 10.04 states/eV/cell

***

[5]
Compound: La2YEr6Tm3
Source: the Alexandria database
Functional: PBE
Structure: relaxed

Cell: 6.153 10.651 11.741 Å, 90.00 100.04 90.00°
Space group C2/m (No. 12)
Unique sites:
La 0.000 0.167 0.000
Y 0.000 0.500 0.000
Er 0.246 0.500 0.744
Er 0.248 0.166 0.744
Tm 0.000 0.000 0.500
Tm 0.000 0.334 0.500

Formation energy from the elements: 0.03 eV per atom
Density of states at the Fermi level: 34.37 states/eV/cell

***

[6]
Compound: Cs2VSe8
Source: the Alexandria database
Functional: PBE
Structure: relaxed

Cell: 6.386 6.546 9.301 Å, 69.99 80.39 89.81°
Space group P-1 (No. 2)
Unique sites:
Cs 0.023 0.304 0.275
V 0.500 0.000 0.000
Se 0.181 0.126 0.876
Se 0.284 0.800 0.280
Se 0.398 0.297 0.617
Se 0.421 0.664 0.932

ΔE_f (raw): -529 meV per atom
Density of states at the Fermi level: 2.18 states/eV/cell